DFT (PBE) results for an optimized crystal structure of SrYS2O8.

Output
Density ... 3.33 Mg/m³
Formation energy without anion corrections ... -2021 meV/atom
Crystal system ... trigonal

Unit cell a=5.195 b=5.195 c=7.858 alpha=90.00 beta=90.00 gamma=120.00
Fractional coordinates of all 12 atoms:
Sr  0.000  0.000  0.000
Y  0.000  0.000  0.500
S  0.333  0.667  0.784
S  0.667  0.333  0.216
O  0.177  0.353  0.723
O  0.177  0.823  0.723
O  0.333  0.667  0.973
O  0.353  0.177  0.277
O  0.647  0.823  0.723
O  0.667  0.333  0.027
O  0.823  0.177  0.277
O  0.823  0.647  0.277

---

DFT (PBE) results for an optimized crystal structure of Sr2ZrS2O2.

Output
Density ... 4.34 Mg/m³
Formation energy without anion corrections ... -2603 meV/atom
Crystal system ... tetragonal

Unit cell a=8.302 b=8.302 c=8.302 alpha=150.45 beta=150.45 gamma=42.29
Fractional coordinates of all 7 atoms:
Sr  0.135  0.135  0.000
Sr  0.865  0.865  0.000
Zr  0.500  0.500  0.000
S  0.332  0.332  0.000
S  0.668  0.668  0.000
O  0.000  0.500  0.500
O  0.500  0.000  0.500

---

DFT (PBE) results for an optimized crystal structure of TaSO.

Output
Density ... 8.52 Mg/m³
Formation energy without anion corrections ... -1650 meV/atom
Crystal system ... orthorhombic

Unit cell a=5.527 b=5.527 c=3.664 alpha=90.00 beta=90.00 gamma=127.07
Fractional coordinates of all 6 atoms:
Ta  0.151  0.849  0.750
Ta  0.849  0.151  0.250
S  0.351  0.649  0.250
S  0.649  0.351  0.750
O  0.069  0.931  0.250
O  0.931  0.069  0.750

---

What did the third record say?
DFT (PBE) results for an optimized crystal structure of TaSO.

Output
Density ... 8.52 Mg/m³
Formation energy without anion corrections ... -1650 meV/atom
Crystal system ... orthorhombic

Unit cell a=5.527 b=5.527 c=3.664 alpha=90.00 beta=90.00 gamma=127.07
Fractional coordinates of all 6 atoms:
Ta  0.151  0.849  0.750
Ta  0.849  0.151  0.250
S  0.351  0.649  0.250
S  0.649  0.351  0.750
O  0.069  0.931  0.250
O  0.931  0.069  0.750